Entry 1:
# NdErAl2

NdErAl2 after structural relaxation (PBE, the Alexandria database).

Summary:
Energy relative to the elements, eV/f.u.: -1.46
Offset from the most stable computed form, eV per formula unit: 0.05
SG: Fm-3m (225)

Lattice parameters (Å, degrees): 5.1637 5.1637 5.1637 60.00 60.00 60.00
Positions (direct):
Nd 0.5000 0.5000 0.5000
Al 0.2500 0.2500 0.2500
Al 0.7500 0.7500 0.7500
Er 0.0000 0.0000 0.0000

Entry 2:
# Pr8RuPt3I4

Pr8RuPt3I4 after structural relaxation (PBE, the Alexandria database).

Summary:
SG: R-3m (166)
Uncorrected formation energy, meV per atom: -1018

Lattice parameters (Å, degrees): 8.5563 9.5412 8.5550 116.63 120.01 90.00
Positions (direct):
Pr 0.2241 0.6868 0.9627
Pr 0.2242 0.6869 0.4483
Pr 0.2711 0.3135 0.5423
Pr 0.7386 0.6868 0.9627
Pr 0.2614 0.3132 0.0373
Pr 0.7289 0.6865 0.4577
Pr 0.7758 0.3131 0.5517
Pr 0.7759 0.3132 0.0373
Ru 0.0000 0.5000 0.0000
Pt 0.5000 0.5000 0.0000
Pt 0.5000 0.5000 0.5000
Pt 0.0000 0.5000 0.5000
I 0.5000 0.0000 0.0000
I 0.5000 0.0000 0.5000
I 0.0000 0.0000 0.0000
I 0.0000 0.0000 0.5000

Entry 3:
# Ta2TcSb

Ta2TcSb after structural relaxation (PBE, the Alexandria database).

Summary:
SG: Pmmm (47)
Uncorrected formation energy, meV per atom: 24

Lattice parameters (Å, degrees): 3.4717 4.5158 4.5185 90.00 90.00 90.00
Positions (direct):
Sb 0.0000 0.5000 0.5000
Ta 0.0000 0.0000 0.0000
Ta 0.5000 0.5000 0.0000
Tc 0.5000 0.0000 0.5000

Entry 4:
# CeThZnNi

CeThZnNi after structural relaxation (PBE, the Alexandria database).

Summary:
Energy relative to the elements, eV/f.u.: -0.59
SG: F-43m (216)

Lattice parameters (Å, degrees): 5.0249 5.0249 5.0249 60.00 60.00 60.00
Positions (direct):
Ni 0.0000 0.0000 0.0000
Zn 0.5000 0.5000 0.5000
Ce 0.2500 0.2500 0.2500
Th 0.7500 0.7500 0.7500